Entry 1:
NdZn2GaCu4 (GGA-PBE, relaxed); ΔH_f (0 K) = -0.14 eV/atom; space group = R-3m, No. 166
1.0
-0.275 -2.820 3.095
-1.937 -3.662 -0.665
6.680 -5.631 -1.693
Nd Zn Ga Cu
1 2 1 4
direct
0.000 0.000 0.000
0.757 0.757 0.728
0.243 0.243 0.272
0.500 0.500 0.500
0.405 0.405 0.785
0.869 0.869 0.393
0.131 0.131 0.607
0.595 0.595 0.215

***

Entry 2:
NdZn2GaCu2 (GGA-PBE, relaxed); ΔH_f (0 K) = -0.04 eV/atom; space group = P4/mmm, No. 123
1.0
-1.570 -3.014 2.917
4.006 -0.156 1.995
-1.586 4.227 3.514
Nd Zn Ga Cu
1 2 1 2
direct
0.000 0.000 0.500
0.500 0.500 0.735
0.500 0.500 0.265
0.000 0.000 0.000
0.500 0.000 0.000
0.000 0.500 0.000

***

Entry 3:
GaCu2Ni5 (GGA-PBE, relaxed); relative energy among the computed polymorphs = 0.0 kJ/mol of atoms; ΔH_f (0 K) = -0.13 eV/atom; space group = I4/mmm, No. 139
1.0
3.496 0.000 -0.961
-0.264 3.486 -0.961
0.153 0.165 7.396
Ga Cu Ni
1 2 5
direct
0.000 0.000 0.000
0.750 0.750 0.499
0.250 0.250 0.501
0.500 0.500 0.000
0.876 0.376 0.752
0.376 0.876 0.752
0.124 0.624 0.248
0.624 0.124 0.248

***

Entry 4:
GaCuNi2 (GGA-PBE, relaxed); ΔH_f (0 K) = 0.13 eV/atom; space group = I-42d, No. 122
1.0
6.479 0.000 0.000
0.000 6.479 0.000
3.239 3.239 2.478
Ni Cu Ga
4 2 2
direct
0.630 0.125 0.250
0.120 0.625 0.250
0.375 0.370 0.750
0.875 0.880 0.750
0.500 0.500 0.000
0.250 0.750 0.500
0.000 0.000 0.000
0.750 0.250 0.500

***

Entry 5:
Ga2CuNi8 (GGA-PBE, relaxed); relative energy among the computed polymorphs = 0.0 kJ/mol of atoms; ΔH_f (0 K) = 0.01 eV/atom; space group = C2/m, No. 12
1.0
4.090 0.990 0.000
1.623 6.163 0.000
0.811 3.082 5.633
Ga Cu Ni
2 1 8
direct
0.000 0.306 0.388
0.000 0.694 0.612
0.500 0.000 0.000
0.860 0.101 0.220
0.860 0.321 0.780
0.309 0.412 0.000
0.500 0.790 0.420
0.500 0.210 0.580
0.691 0.588 0.000
0.140 0.679 0.220
0.140 0.899 0.780

***

Entry 6:
GaCu2Ni3 (GGA-PBE, relaxed); relative energy among the computed polymorphs = 0.5 kJ/mol of atoms; ΔH_f (0 K) = -0.16 eV/atom; space group = P-3m1, No. 164
1.0
4.038 0.000 0.000
-2.019 3.497 0.000
0.000 0.000 4.942
Ga Cu Ni
1 2 3
direct
0.000 0.000 0.000
0.667 0.333 0.345
0.333 0.667 0.655
0.000 0.000 0.500
0.667 0.333 0.841
0.333 0.667 0.159